No. 1
The following is a DFT calculation (PBE-GGA) of Dy3Y3Er4 after structural relaxation.

Values from the calculation:
V: 319 Å³ per cell
E_form: 0.0911 eV/atom
Space group: Amm2, No. 38
Calculated total energy: -5.054 eV per atom

a = 3.693 Å, b = 9.288 Å, c = 9.288 Å
α = 89.96°, β = 90.00°, γ = 90.00°
Fractional positions:
Y1 0.500 0.828 0.172
Y2 0.500 0.672 0.673
Y3 0.500 0.327 0.328
Er1 0.000 0.373 0.627
Er2 0.000 0.126 0.125
Er3 0.000 0.625 0.375
Er4 0.000 0.875 0.874
Dy1 0.000 0.000 0.500
Dy2 0.000 0.500 0.000
Dy3 0.500 0.172 0.828

No. 2
The following is a DFT calculation (PBE-GGA) of Dy2Y15Er2 after structural relaxation.

Values from the calculation:
V: 642 Å³ per cell
E_form: 0.2996 eV/atom
Space group: R-3m, No. 166
Calculated total energy: -5.768 eV per atom

a = 8.763 Å, b = 8.763 Å, c = 8.763 Å
α = 79.26°, β = 79.26°, γ = 79.26°
Fractional positions:
Dy1 0.320 0.320 0.320
Dy2 0.680 0.680 0.680
Y1 0.299 0.701 0.000
Y2 0.000 0.000 0.500
Y3 0.500 0.000 0.000
Y4 0.372 0.372 0.851
Y5 0.000 0.701 0.299
Y6 0.701 0.299 0.000
Y7 0.000 0.299 0.701
Y8 0.628 0.628 0.149
Y9 0.628 0.149 0.628
Y10 0.701 0.000 0.299
Y11 0.299 0.000 0.701
Y12 0.851 0.372 0.372
Y13 0.372 0.851 0.372
Y14 0.000 0.500 0.000
Y15 0.149 0.628 0.628
Er1 0.096 0.096 0.096
Er2 0.904 0.904 0.904

No. 3
The following is a DFT calculation (PBE-GGA) of Dy4YEr3 after structural relaxation.

Values from the calculation:
V: 506 Å³ per cell
E_form: 0.0031 eV/atom
Space group: Pmn2_1, No. 31
Calculated total energy: -4.817 eV per atom

a = 6.257 Å, b = 7.236 Å, c = 11.187 Å
α = 90.00°, β = 90.00°, γ = 90.00°
Fractional positions:
Y1 0.148 0.376 0.000
Y2 0.648 0.624 0.500
Er1 0.648 0.625 0.000
Er2 0.148 0.375 0.500
Er3 0.482 0.375 0.750
Er4 0.982 0.625 0.750
Er5 0.482 0.375 0.250
Er6 0.982 0.625 0.250
Dy1 0.480 0.875 0.751
Dy2 0.147 0.874 0.000
Dy3 0.480 0.875 0.249
Dy4 0.648 0.126 0.000
Dy5 0.980 0.125 0.749
Dy6 0.980 0.125 0.251
Dy7 0.148 0.874 0.500
Dy8 0.647 0.126 0.500

No. 4
The following is a DFT calculation (PBE-GGA) of Dy6Y19Er4 after structural relaxation.

Values from the calculation:
V: 965 Å³ per cell
E_form: 0.3817 eV/atom
Space group: I23, No. 197
Calculated total energy: -5.435 eV per atom

a = 10.784 Å, b = 10.784 Å, c = 10.784 Å
α = 109.47°, β = 109.47°, γ = 109.47°
Fractional positions:
Y1 0.326 0.783 0.984
Y2 0.260 0.260 0.000
Y3 0.740 0.000 0.740
Y4 0.217 0.543 0.201
Y5 0.260 0.000 0.260
Y6 0.201 0.217 0.543
Y7 0.783 0.984 0.326
Y8 0.000 0.000 0.000
Y9 0.984 0.326 0.783
Y10 0.543 0.201 0.217
Y11 0.000 0.740 0.740
Y12 0.016 0.799 0.342
Y13 0.740 0.740 0.000
Y14 0.000 0.260 0.260
Y15 0.658 0.457 0.674
Y16 0.799 0.342 0.016
Y17 0.342 0.016 0.799
Y18 0.457 0.674 0.658
Y19 0.674 0.658 0.457
Dy1 0.875 0.375 0.500
Dy2 0.625 0.500 0.125
Dy3 0.125 0.625 0.500
Dy4 0.375 0.500 0.875
Dy5 0.500 0.875 0.375
Dy6 0.500 0.125 0.625
Er1 0.000 0.000 0.642
Er2 0.358 0.358 0.358
Er3 0.000 0.642 0.000
Er4 0.642 0.000 0.000

No. 5
The following is a DFT calculation (PBE-GGA) of DyY6Er8 after structural relaxation.

Values from the calculation:
V: 494 Å³ per cell
E above lowest polymorph: 0.115 eV/atom
E_form: 0.2395 eV/atom
Space group: P-3, No. 147
Calculated total energy: -5.086 eV per atom

a = 6.455 Å, b = 9.399 Å, c = 9.399 Å
α = 120.00°, β = 90.00°, γ = 90.00°
Fractional positions:
Er1 0.848 0.333 0.667
Er2 0.905 0.980 0.313
Er3 0.095 0.313 0.333
Er4 0.152 0.667 0.333
Er5 0.905 0.333 0.020
Er6 0.905 0.687 0.667
Er7 0.095 0.020 0.687
Er8 0.095 0.667 0.980
Y1 0.409 0.317 0.899
Y2 0.591 0.683 0.101
Y3 0.409 0.582 0.683
Y4 0.591 0.418 0.317
Y5 0.409 0.101 0.418
Y6 0.591 0.899 0.582
Dy1 0.500 0.000 0.000

No. 6
The following is a DFT calculation (PBE-GGA) of Dy5Y2Er after structural relaxation.

Values from the calculation:
V: 504 Å³ per cell
E_form: 0.0184 eV/atom
Space group: Pbam, No. 55
Calculated total energy: -5.044 eV per atom

a = 5.007 Å, b = 7.093 Å, c = 14.186 Å
α = 90.00°, β = 90.00°, γ = 90.00°
Fractional positions:
Dy1 0.500 0.250 0.875
Dy2 0.000 0.500 0.250
Dy3 0.000 0.000 0.750
Dy4 0.500 0.750 0.125
Dy5 0.500 0.750 0.625
Dy6 0.000 0.500 0.500
Dy7 0.500 0.250 0.375
Dy8 0.000 0.000 0.000
Dy9 0.000 0.500 0.750
Dy10 0.000 0.000 0.250
Y1 0.500 0.250 0.625
Y2 0.500 0.250 0.125
Y3 0.500 0.750 0.875
Y4 0.500 0.750 0.375
Er1 0.000 0.000 0.500
Er2 0.000 0.500 0.000